VASP calculation (PBE) on a geometry-optimized CoSe2Cl6 structure.

E_tot ... -3.12 eV per atom
E_form (uncorrected) ... -0.320 eV per atom

The structure in POSCAR format:
```
CoSe2Cl6
1.0
6.248 -0.715 0.184
0.177 9.104 1.386
-1.228 -1.193 9.050
Cl Se Co
12 4 2
Cartesian
1.469 1.221 8.820
1.127 3.297 3.611
3.728 5.975 1.800
5.991 0.647 0.687
2.702 -0.208 1.497
4.119 1.969 4.426
-0.289 -0.209 6.577
4.069 3.899 7.009
5.485 7.405 4.043
1.078 5.227 6.195
-0.795 6.549 9.934
2.494 7.404 9.123
4.236 3.962 3.458
4.426 5.377 5.393
0.961 3.234 7.162
0.771 1.820 5.227
4.776 7.936 1.995
0.420 -0.739 8.626
```